# 1
Material: YCuNi2
Method: DFT, SCAN
State: single point on PBEsol structure

Cell lengths 4.0321, 4.0321, 13.2011 Å; angles 90.00, 90.00, 120.00 degrees
Last column: nearest neighbours and their distance in Å.
Space group R-3m (No. 166, hexagonal axes)
One atom of each set of equivalent atoms:
Y  0.0000  0.0000  0.0000 (multiplicity 3)  8 Ni 2.64-2.92
Cu  0.0000  0.0000  0.5000 (multiplicity 3)  6 Ni 2.37
Ni  0.0000  0.0000  0.1997 (multiplicity 6)  3 Cu 2.37, 3 Ni 2.49, 1 Y 2.64

- Fermi-level density of states (states/eV/f.u.) = 1.872
- DFT formation energy (eV/f.u.) = -1.05
- E (eV/f.u.) = -76.44
- density (g/cm3) = 7.2
- total magnetization (μB per formula unit) = 0.0


# 2
Material: Zn2CuNi
Method: DFT, SCAN
State: single point on PBEsol structure

Cell lengths 2.6445, 2.6445, 6.8145 Å; angles 90.00, 90.00, 90.00 degrees
Last column: nearest neighbours and their distance in Å.
Space group P4/mmm (No. 123)
One atom of each set of equivalent atoms:
Zn  0.0000  0.0000  0.2410 (multiplicity 2)  4 Ni 2.49, 4 Cu 2.57, 4 Zn 2.64
Cu  0.5000  0.5000  0.5000 (multiplicity 1)  8 Zn 2.57, 4 Cu 2.64
Ni  0.5000  0.5000  0.0000 (multiplicity 1)  8 Zn 2.49, 4 Ni 2.64

- Fermi-level density of states (states/eV/f.u.) = 1.467
- DFT formation energy (eV/f.u.) = -0.63
- E (eV/f.u.) = -59.04
- density (g/cm3) = 8.8
- total magnetization (μB per formula unit) = 0.0


# 3
Material: Zn2CuNi
Method: DFT, SCAN
State: single point on PBEsol structure

Cell lengths 2.6645, 3.3526, 5.3170 Å; angles 90.00, 90.00, 90.00 degrees
Last column: nearest neighbours and their distance in Å.
Space group Pmmm (No. 47)
One atom of each set of equivalent atoms:
Zn  0.0000  0.0000  0.2431 (multiplicity 2)  4 Ni 2.50, 4 Cu 2.54, 4 Zn 2.59-2.73
Cu  0.5000  0.5000  0.5000 (multiplicity 1)  8 Zn 2.54, 2 Ni 2.66, 2 Cu 2.66
Ni  0.5000  0.5000  0.0000 (multiplicity 1)  8 Zn 2.50, 2 Cu 2.66, 2 Ni 2.66

- Fermi-level density of states (states/eV/f.u.) = 1.702
- DFT formation energy (eV/f.u.) = -0.62
- E (eV/f.u.) = -59.02
- density (g/cm3) = 8.8
- total magnetization (μB per formula unit) = 0.0


# 4
Material: Zn2CuNi
Method: DFT, SCAN
State: single point on PBEsol structure

Cell lengths 2.8974, 2.8974, 5.7492 Å; angles 90.00, 90.00, 90.00 degrees
Last column: nearest neighbours and their distance in Å.
Space group P4mm (No. 99)
One atom of each set of equivalent atoms:
Zn  0.0000  0.0000  0.0000 (multiplicity 1)  4 Ni 2.44, 4 Zn 2.63, 1 Cu 2.70
Zn  0.5000  0.5000  0.2873 (multiplicity 1)  4 Cu 2.48, 4 Zn 2.63, 1 Ni 2.77
Cu  0.0000  0.0000  0.5312 (multiplicity 1)  4 Ni 2.46, 5 Zn 2.48-2.70
Ni  0.5000  0.5000  0.7690 (multiplicity 1)  4 Zn 2.44, 4 Cu 2.46

- Fermi-level density of states (states/eV/f.u.) = 1.761
- DFT formation energy (eV/f.u.) = -0.23
- E (eV/f.u.) = -58.64
- density (g/cm3) = 8.7
- total magnetization (μB per formula unit) = 0.0


# 5
Material: Zn2CuNi
Method: DFT, SCAN
State: single point on PBEsol structure

Cell lengths 5.2806, 6.7820, 2.6527 Å; angles 90.00, 90.00, 90.00 degrees
Last column: nearest neighbours and their distance in Å.
Space group Cmmm (No. 65)
One atom of each set of equivalent atoms:
Zn  0.2500  0.2500  0.0000 (multiplicity 4)  4 Ni 2.53, 4 Cu 2.53, 4 Zn 2.64-2.65
Cu  0.0000  0.0000  0.5000 (multiplicity 2)  8 Zn 2.53, 2 Ni 2.64, 2 Cu 2.65
Ni  0.0000  0.5000  0.5000 (multiplicity 2)  8 Zn 2.53, 2 Cu 2.64, 2 Ni 2.65

- Fermi-level density of states (states/eV/f.u.) = 1.674
- DFT formation energy (eV/f.u.) = -0.62
- E (eV/f.u.) = -59.02
- density (g/cm3) = 8.8
- total magnetization (μB per formula unit) = 0.0


# 6
Material: Zn2CuNi
Method: DFT, SCAN
State: single point on PBEsol structure

Cell lengths 8.7562, 2.6477, 4.2727 Å; angles 90.00, 105.27, 90.00 degrees
Last column: nearest neighbours and their distance in Å.
Space group Cm (No. 8)
One atom of each set of equivalent atoms:
Zn  0.0000  0.0000  0.0000 (multiplicity 2)  4 Ni 2.51-2.52, 3 Cu 2.52-2.55, 5 Zn 2.65-2.77
Zn  0.2406  0.0000  0.6901 (multiplicity 2)  3 Ni 2.48-2.57, 4 Cu 2.48-2.55, 5 Zn 2.65-2.77
Cu  0.2516  0.5000  0.2045 (multiplicity 2)  7 Zn 2.48-2.55, 2 Ni 2.54, 2 Cu 2.65
Ni  0.4949  0.0000  0.4952 (multiplicity 2)  7 Zn 2.48-2.57, 2 Cu 2.54, 2 Ni 2.65

- Fermi-level density of states (states/eV/f.u.) = 1.372
- DFT formation energy (eV/f.u.) = -0.49
- E (eV/f.u.) = -58.89
- density (g/cm3) = 8.8
- total magnetization (μB per formula unit) = 0.0


# 7
Material: Zn2CuNi
Method: DFT, SCAN
State: single point on PBEsol structure

Cell lengths 4.3012, 2.6367, 4.4978 Å; angles 90.00, 109.98, 90.00 degrees
Last column: nearest neighbours and their distance in Å.
Space group P2/m (No. 10)
One atom of each set of equivalent atoms:
Zn  0.0000  0.0000  0.0000 (multiplicity 1)  4 Ni 2.52, 2 Cu 2.53, 6 Zn 2.61-2.64
Zn  0.0000  0.5000  0.5000 (multiplicity 1)  4 Cu 2.52, 2 Ni 2.53, 6 Zn 2.61-2.64
Cu  0.5000  0.0000  0.5000 (multiplicity 1)  6 Zn 2.52-2.53, 4 Ni 2.61, 2 Cu 2.64
Ni  0.5000  0.5000  0.0000 (multiplicity 1)  6 Zn 2.52-2.53, 4 Cu 2.61, 2 Ni 2.64

- Fermi-level density of states (states/eV/f.u.) = 1.583
- DFT formation energy (eV/f.u.) = -0.35
- E (eV/f.u.) = -58.75
- density (g/cm3) = 8.8
- total magnetization (μB per formula unit) = 0.0


# 8
Material: Zn2CuNi
Method: DFT, SCAN
State: single point on PBEsol structure

Cell lengths 2.6130, 2.6130, 24.3558 Å; angles 90.00, 90.00, 120.00 degrees
Last column: nearest neighbours and their distance in Å.
Space group R-3m (No. 166, hexagonal axes)
One atom of each set of equivalent atoms:
Zn  0.0000  0.0000  0.2479 (multiplicity 6)  3 Ni 2.49, 3 Cu 2.57, 6 Zn 2.61
Cu  0.0000  0.0000  0.0000 (multiplicity 3)  6 Zn 2.57, 6 Cu 2.61
Ni  0.0000  0.0000  0.5000 (multiplicity 3)  6 Zn 2.49, 6 Ni 2.61

- Fermi-level density of states (states/eV/f.u.) = 2.188
- DFT formation energy (eV/f.u.) = -0.33
- E (eV/f.u.) = -58.73
- density (g/cm3) = 8.8
- total magnetization (μB per formula unit) = 0.0


# 9
Material: Zn2CuNi
Method: DFT, SCAN
State: single point on PBEsol structure

Cell lengths 3.5465, 3.5596, 7.5376 Å; angles 90.00, 90.00, 90.00 degrees
Last column: nearest neighbours and their distance in Å.
Space group Imm2 (No. 44)
One atom of each set of equivalent atoms:
Zn  0.0000  0.0000  0.0000 (multiplicity 2)  4 Ni 2.51, 4 Cu 2.59, 4 Zn 2.59
Zn  0.0000  0.5000  0.2497 (multiplicity 2)  4 Cu 2.51, 4 Ni 2.59, 4 Zn 2.59
Cu  0.0000  0.5000  0.7501 (multiplicity 2)  8 Zn 2.51-2.59, 4 Ni 2.59
Ni  0.0000  0.0000  0.4997 (multiplicity 2)  8 Zn 2.51-2.59, 4 Cu 2.59

- Fermi-level density of states (states/eV/f.u.) = 1.601
- DFT formation energy (eV/f.u.) = -0.49
- E (eV/f.u.) = -58.90
- density (g/cm3) = 8.8
- total magnetization (μB per formula unit) = 0.0


# 10
Material: Zn2CuNi
Method: DFT, SCAN
State: single point on PBEsol structure

Cell lengths 8.2412, 2.6160, 4.5256 Å; angles 90.00, 100.68, 90.00 degrees
Last column: nearest neighbours and their distance in Å.
Space group C2/m (No. 12)
One atom of each set of equivalent atoms:
Zn  0.2475  0.0000  0.2453 (multiplicity 4)  3 Ni 2.50-2.53, 3 Cu 2.52-2.55, 6 Zn 2.58-2.64
Cu  0.0000  0.0000  0.5000 (multiplicity 2)  6 Zn 2.52-2.55, 4 Ni 2.61, 2 Cu 2.62
Ni  0.0000  0.5000  0.0000 (multiplicity 2)  6 Zn 2.50-2.53, 4 Cu 2.61, 2 Ni 2.62

- Fermi-level density of states (states/eV/f.u.) = 1.422
- DFT formation energy (eV/f.u.) = -0.35
- E (eV/f.u.) = -58.76
- density (g/cm3) = 8.8
- total magnetization (μB per formula unit) = 0.0


# 11
Material: Zn2CuNi
Method: DFT, SCAN
State: single point on PBEsol structure

Cell lengths 2.5993, 3.6141, 5.1042 Å; angles 90.00, 90.00, 90.00 degrees
Last column: nearest neighbours and their distance in Å.
Space group Pmm2 (No. 25)
One atom of each set of equivalent atoms:
Zn  0.0000  0.0000  0.0000 (multiplicity 1)  2 Cu 2.45-2.66, 4 Ni 2.51, 6 Zn 2.60-2.65
Zn  0.5000  0.5000  0.2830 (multiplicity 1)  2 Ni 2.51-2.60, 4 Cu 2.53, 6 Zn 2.60-2.65
Cu  0.0000  0.0000  0.5205 (multiplicity 1)  6 Zn 2.45-2.66, 4 Ni 2.57, 2 Cu 2.60
Ni  0.5000  0.5000  0.7740 (multiplicity 1)  6 Zn 2.51-2.60, 4 Cu 2.57, 2 Ni 2.60

- Fermi-level density of states (states/eV/f.u.) = 1.670
- DFT formation energy (eV/f.u.) = -0.36
- E (eV/f.u.) = -58.76
- density (g/cm3) = 8.8
- total magnetization (μB per formula unit) = 0.0


# 12
Material: Zn2CuNi
Method: DFT, SCAN
State: single point on PBEsol structure

Cell lengths 5.7552, 5.7552, 5.7552 Å; angles 90.00, 90.00, 90.00 degrees
Last column: nearest neighbours and their distance in Å.
Space group F-43m (No. 216)
One atom of each set of equivalent atoms:
Zn  0.0000  0.0000  0.0000 (multiplicity 4)  4 Zn 2.49, 4 Cu 2.49
Zn  0.2500  0.2500  0.2500 (multiplicity 4)  4 Ni 2.49, 4 Zn 2.49
Cu  0.2500  0.2500  0.7500 (multiplicity 4)  4 Ni 2.49, 4 Zn 2.49
Ni  0.0000  0.0000  0.5000 (multiplicity 4)  4 Cu 2.49, 4 Zn 2.49

- Fermi-level density of states (states/eV/f.u.) = 1.580
- DFT formation energy (eV/f.u.) = -0.34
- E (eV/f.u.) = -58.74
- density (g/cm3) = 8.8
- total magnetization (μB per formula unit) = 0.0


# 13
Material: Zr2CuNi
Method: DFT, SCAN
State: single point on PBEsol structure

Cell lengths 3.2370, 3.2370, 6.2462 Å; angles 90.00, 90.00, 90.00 degrees
Last column: nearest neighbours and their distance in Å.
Space group P4mm (No. 99)
One atom of each set of equivalent atoms:
Zr  0.0000  0.0000  0.0000 (multiplicity 1)  1 Cu 2.67, 4 Ni 2.69
Zr  0.5000  0.5000  0.3296 (multiplicity 1)  4 Cu 2.75, 1 Ni 2.77
Cu  0.0000  0.0000  0.5722 (multiplicity 1)  4 Ni 2.61, 5 Zr 2.67-2.75
Ni  0.5000  0.5000  0.7723 (multiplicity 1)  4 Cu 2.61, 5 Zr 2.69-2.77

- Fermi-level density of states (states/eV/f.u.) = 2.352
- DFT formation energy (eV/f.u.) = -0.81
- E (eV/f.u.) = -93.58
- density (g/cm3) = 7.7
- total magnetization (μB per formula unit) = 0.0


# 14
Material: Zr2CuNi
Method: DFT, SCAN
State: single point on PBEsol structure

Cell lengths 3.2844, 4.0796, 5.0979 Å; angles 90.00, 104.02, 90.00 degrees
Last column: nearest neighbours and their distance in Å.
Space group Pm (No. 6)
One atom of each set of equivalent atoms:
Zr  0.0000  0.0000  0.0000 (multiplicity 1)  3 Ni 2.67-2.79, 4 Cu 2.67-2.73
Zr  0.2514  0.5000  0.5714 (multiplicity 1)  3 Cu 2.68-2.80, 4 Ni 2.69-2.71
Cu  0.5632  0.5000  0.1325 (multiplicity 1)  2 Ni 2.54, 7 Zr 2.67-2.80
Ni  0.6949  0.0000  0.4395 (multiplicity 1)  2 Cu 2.54, 7 Zr 2.67-2.79

- Fermi-level density of states (states/eV/f.u.) = 3.584
- DFT formation energy (eV/f.u.) = -1.39
- E (eV/f.u.) = -94.16
- density (g/cm3) = 7.6
- total magnetization (μB per formula unit) = 0.0


# 15
Material: ZrCuNi4
Method: DFT, SCAN
State: single point on PBEsol structure

Cell lengths 6.6327, 6.6327, 6.6327 Å; angles 90.00, 90.00, 90.00 degrees
Last column: nearest neighbours and their distance in Å.
Space group F-43m (No. 216)
One atom of each set of equivalent atoms:
Zr  0.0000  0.0000  0.0000 (multiplicity 4)  12 Ni 2.75, 4 Cu 2.87
Cu  0.2500  0.2500  0.2500 (multiplicity 4)  12 Ni 2.75, 4 Zr 2.87
Ni  0.1241  0.1241  0.6241 (multiplicity 16)  6 Ni 2.33-2.36

- Fermi-level density of states (states/eV/f.u.) = 3.163
- DFT formation energy (eV/f.u.) = -2.15
- E (eV/f.u.) = -112.74
- density (g/cm3) = 8.9
- total magnetization (μB per formula unit) = 0.0


# 16
Material: Zr2CuNi
Method: DFT, SCAN
State: single point on PBEsol structure

Cell lengths 6.3268, 6.3442, 3.2487 Å; angles 90.00, 90.00, 90.00 degrees
Last column: nearest neighbours and their distance in Å.
Space group Cmmm (No. 65)
One atom of each set of equivalent atoms:
Zr  0.2500  0.2500  0.0000 (multiplicity 4)  4 Ni 2.77, 4 Cu 2.77
Cu  0.0000  0.0000  0.5000 (multiplicity 2)  8 Zr 2.77
Ni  0.0000  0.5000  0.5000 (multiplicity 2)  8 Zr 2.77

- Fermi-level density of states (states/eV/f.u.) = 3.976
- DFT formation energy (eV/f.u.) = -1.05
- E (eV/f.u.) = -93.82
- density (g/cm3) = 7.8
- total magnetization (μB per formula unit) = 0.0


# 17
Material: Zr4CuNi
Method: DFT, SCAN
State: single point on PBEsol structure

Cell lengths 6.5211, 6.5211, 5.0766 Å; angles 90.00, 90.00, 90.00 degrees
Last column: nearest neighbours and their distance in Å.
Space group I422 (No. 97)
One atom of each set of equivalent atoms:
Zr  0.1604  0.3396  0.2500 (multiplicity 8)  2 Ni 2.76, 2 Cu 2.76, 3 Zr 2.96-3.03
Cu  0.0000  0.0000  0.5000 (multiplicity 2)  2 Ni 2.54, 8 Zr 2.76
Ni  0.0000  0.0000  0.0000 (multiplicity 2)  2 Cu 2.54, 8 Zr 2.76

- Fermi-level density of states (states/eV/f.u.) = 5.582
- DFT formation energy (eV/f.u.) = -1.52
- E (eV/f.u.) = -155.69
- density (g/cm3) = 7.5
- total magnetization (μB per formula unit) = 0.0


# 18
Material: Cu3O4
Method: DFT, SCAN
State: single point on PBEsol structure

Cell lengths 6.8969, 7.3337, 5.9944 Å; angles 90.00, 90.00, 90.00 degrees
Last column: nearest neighbours and their distance in Å.
Space group Ibam (No. 72)
One atom of each set of equivalent atoms:
Cu  0.0000  0.0000  0.0000 (multiplicity 4)  6 O 1.98
Cu  0.2500  0.2500  0.2500 (multiplicity 8)  4 O 1.87-1.88
O  0.0885  0.2572  0.0000 (multiplicity 8)  3 Cu 1.87-1.98
O  0.1881  0.0000  0.2500 (multiplicity 8)  4 Cu 1.88-1.98

- Fermi-level density of states (states/eV/f.u.) = 1.380
- ΔE to the lowest computed polymorph (meV/atom) = 0
- E (eV/f.u.) = -74.96
- density (g/cm3) = 5.6
- total magnetization (μB per formula unit) = 1.2


# 19
Material: Cu4O3
Method: DFT, SCAN
State: single point on PBEsol structure

Cell lengths 5.7861, 5.7861, 9.7474 Å; angles 90.00, 90.00, 90.00 degrees
Last column: nearest neighbours and their distance in Å.
Space group I4_1/amd (No. 141, origin choice 2)
One atom of each set of equivalent atoms:
Cu  0.0000  0.0000  0.0000 (multiplicity 8)  2 O 1.82
Cu  0.0000  0.0000  0.5000 (multiplicity 8)  4 O 1.89-1.97
O  0.0000  0.2500  0.1133 (multiplicity 8)  4 Cu 1.82-1.97
O  0.0000  0.2500  0.3750 (multiplicity 4)  4 Cu 1.89

- Fermi-level density of states (states/eV/f.u.) = 0.229
- E (eV/f.u.) = -84.16
- density (g/cm3) = 6.2
- total magnetization (μB per formula unit) = 2.0


# 20
Material: Cu3O4
Method: DFT, SCAN
State: single point on PBEsol structure

Cell lengths 8.8650, 8.8650, 8.8650 Å; angles 90.00, 90.00, 90.00 degrees
Last column: nearest neighbours and their distance in Å.
Space group Fm-3m (No. 225)
One atom of each set of equivalent atoms:
Cu  0.0000  0.2500  0.2500 (multiplicity 24)  4 O 1.85
O  0.1424  0.1424  0.1424 (multiplicity 32)  3 Cu 1.85

- Fermi-level density of states (states/eV/f.u.) = 4.243
- ΔE to the lowest computed polymorph (meV/atom) = 112
- E (eV/f.u.) = -74.17
- density (g/cm3) = 4.9
- total magnetization (μB per formula unit) = 0.0